Record 1
The following is a DFT calculation (GGA+U) of CaPr2MnO5 after structural relaxation.

Total DFT energy (no corrections) in eV per atom: -7.47
Calculated volume in Å³ per atom: 14.64
Total magnetization in Bohr magnetons per cell: 6.0
Space-group type: P4/mbm
Crystal system: tetragonal

a b c (Å): 6.779 6.779 5.735
angles (deg): 90.00 90.00 90.00
Fractional coordinates of all 18 atoms:
Ca (0.000, 0.000, 0.000)
Ca (0.500, 0.500, 0.000)
Pr (0.173, 0.327, 0.500)
Pr (0.327, 0.827, 0.500)
Pr (0.673, 0.173, 0.500)
Pr (0.827, 0.673, 0.500)
Mn (0.000, 0.500, 0.000)
Mn (0.500, 0.000, 0.000)
O (0.000, 0.000, 0.500)
O (0.139, 0.639, 0.237)
O (0.139, 0.639, 0.763)
O (0.361, 0.139, 0.237)
O (0.361, 0.139, 0.763)
O (0.500, 0.500, 0.500)
O (0.639, 0.861, 0.237)
O (0.639, 0.861, 0.763)
O (0.861, 0.361, 0.237)
O (0.861, 0.361, 0.763)

=====

Record 2
The following is a DFT calculation (GGA+U) of CaPrMn2O6 after structural relaxation.

Total DFT energy (no corrections) in eV per atom: -7.47
Calculated volume in Å³ per atom: 11.63
Total magnetization in Bohr magnetons per cell: 14.0
Space-group type: Pmn2_1
Crystal system: orthorhombic

a b c (Å): 7.691 5.536 5.462
angles (deg): 90.00 90.00 90.00
Fractional coordinates of all 20 atoms:
Ca (0.000, 0.205, 0.000)
Ca (0.500, 0.795, 0.500)
Pr (0.000, 0.709, 0.519)
Pr (0.500, 0.291, 0.019)
Mn (0.250, 0.248, 0.510)
Mn (0.250, 0.752, 0.010)
Mn (0.750, 0.248, 0.510)
Mn (0.750, 0.752, 0.010)
O (0.000, 0.268, 0.430)
O (0.000, 0.770, 0.084)
O (0.208, 0.462, 0.797)
O (0.211, 0.963, 0.723)
O (0.289, 0.037, 0.223)
O (0.292, 0.538, 0.297)
O (0.500, 0.230, 0.584)
O (0.500, 0.732, 0.930)
O (0.708, 0.538, 0.297)
O (0.711, 0.037, 0.223)
O (0.789, 0.963, 0.723)
O (0.792, 0.462, 0.797)